Computed, not measured: crystalline BaNa2NiF8 at its relaxed geometry at the PBE+U level of DFT.

a b c (Å): 4.512 5.456 7.444
angles (deg): 89.80 84.68 78.51
Space group P-1 (No. 2)
Symmetry-distinct sites (fractional):
Ba1 0.000 0.000 0.000 x1
Na1 0.431 0.500 0.264 x2
Ni1 0.000 0.000 0.500 x1
F1 0.075 0.214 0.669 x2
F2 0.154 0.170 0.317 x2
F3 0.353 0.783 0.516 x2
F4 0.437 0.273 0.986 x2

Summary:
Mass density: 3.66 Mg/m³
E: -51.5 eV for the cell shown
Calculated volume: 14.9 Å³ per atom